This record from the Alexandria database describes a relaxed structure of Cs2HoTe6Au2. The functional is PBE.

a = 7.948 Å, b = 7.948 Å, c = 9.559 Å
α = 113.89°, β = 113.89°, γ = 62.17°
Fractional coordinates of all 11 atoms:
Cs (0.232, 0.232, 0.202)
Cs (0.768, 0.768, 0.798)
Ho (0.000, 0.000, 0.500)
Te (0.197, 0.761, 0.230)
Te (0.238, 0.238, 0.772)
Te (0.239, 0.803, 0.770)
Te (0.761, 0.197, 0.230)
Te (0.762, 0.762, 0.228)
Te (0.803, 0.239, 0.770)
Au (0.419, 0.419, 0.738)
Au (0.581, 0.581, 0.262)

Output
Calculated volume = 470.59 Å³/cell
Spin magnetization = 0.000 μB per atom
VASP energy = -3.42 eV per atom
Space-group type = No. 12

This record from the Alexandria database describes a relaxed structure of Dy2HoPd. The functional is PBE.

a = 3.699 Å, b = 3.699 Å, c = 28.687 Å
α = 90.00°, β = 90.00°, γ = 120.00°
Fractional coordinates of all 12 atoms:
Dy (0.000, 0.000, 0.000)
Dy (0.000, 0.000, 0.201)
Dy (0.333, 0.667, 0.667)
Dy (0.333, 0.667, 0.868)
Dy (0.667, 0.333, 0.333)
Dy (0.667, 0.333, 0.534)
Ho (0.000, 0.000, 0.435)
Ho (0.333, 0.667, 0.101)
Ho (0.667, 0.333, 0.768)
Pd (0.000, 0.000, 0.600)
Pd (0.333, 0.667, 0.267)
Pd (0.667, 0.333, 0.934)

Output
ΔE_f = -0.29 eV per atom
Calculated volume = 339.87 Å³/cell
Spin magnetization = 0.070 μB per atom
Space-group type = No. 160